VASP calculation (PBE) on a relaxed structure of LaSm2Er8.

ΔE_f = 0.1194 eV per atom
M_tot = 0.000 μB per atom
space group = C2/m
raw total energy = -0.166 hartree per atom

a = 5.479 Å, b = 8.106 Å, c = 9.386 Å
α = 115.54°, β = 106.97°, γ = 90.00°
Atoms (fractional coordinates):
Er 0.641 0.435 0.281
Er 0.838 0.837 0.676
Er 0.000 0.294 0.000
Er 0.162 0.163 0.324
Er 0.641 0.848 0.283
Er 0.359 0.565 0.719
Er 0.000 0.706 0.000
Er 0.359 0.152 0.717
Sm 0.801 0.301 0.601
Sm 0.199 0.699 0.399
La 0.500 0.000 0.000